The following is a DFT calculation (PBE) of a geometry-optimized Hf2Ti2Ni structure.

Unit cell a=6.3997 b=6.3997 c=4.5014 alpha=90.00 beta=90.00 gamma=90.00
Space group P4/mbm (No. 127)
One atom of each set of equivalent atoms:
Hf 0.1595 0.3405 0.0000
Ti 0.1478 0.6478 0.5000
Ni 0.0000 0.0000 0.5000

Summary:
Total energy = -8.287 eV per atom
M_tot = 0.00 μB per formula unit
N(E_F) = 7.92 states/eV/cell
ρ = 9213 kg/m3

=====

The following is a DFT calculation (PBE) of a geometry-optimized La3CrC3 structure.

Unit cell a=8.8826 b=10.7877 c=5.5324 alpha=90.00 beta=90.00 gamma=90.00
Space group Cmcm (No. 63)
One atom of each set of equivalent atoms:
La 0.0000 0.1136 0.2500
La 0.2017 0.3798 0.2500
Cr 0.0000 0.2998 0.7500
C 0.0000 0.1269 0.7500
C 0.1880 0.3712 0.7500

Summary:
Total energy = -7.547 eV per atom
M_tot = 0.00 μB per formula unit
N(E_F) = 12.19 states/eV/cell
ρ = 6324 kg/m3

=====

The following is a DFT calculation (PBE) of a geometry-optimized GdAgAs2 structure.

Unit cell a=4.6039 b=4.6039 c=3.9254 alpha=90.00 beta=90.00 gamma=90.00
Space group P4/mmm (No. 123)
One atom of each set of equivalent atoms:
Gd 0.0000 0.0000 0.0000
Ag 0.5000 0.5000 0.0000
As 0.0000 0.5000 0.5000

Summary:
Total energy = -7.146 eV per atom
M_tot = 6.82 μB per formula unit
N(E_F) = 2.00 states/eV/cell
ρ = 8282 kg/m3

=====

The following is a DFT calculation (PBE) of a geometry-optimized K2Hg3 structure.

Unit cell a=8.4861 b=8.4861 c=20.1672 alpha=90.00 beta=90.00 gamma=120.00
Space group R-3c (No. 167, hexagonal axes)
One atom of each set of equivalent atoms:
K 0.0000 0.0000 0.0981
Hg 0.0000 0.2144 0.2500

Summary:
E above lowest polymorph = 12.4 kJ/mol of atoms
M_tot = 0.00 μB per formula unit
N(E_F) = 16.61 states/eV/cell
ρ = 5386 kg/m3

=====

The following is a DFT calculation (PBE) of a geometry-optimized SrCr3S structure.

Unit cell a=5.6395 b=5.6395 c=5.6395 alpha=90.00 beta=90.00 gamma=90.00
Space group Pm-3m (No. 221)
One atom of each set of equivalent atoms:
Sr 0.0000 0.0000 0.0000
Cr 0.0000 0.0000 0.5000
S 0.5000 0.5000 0.5000

Summary:
E above lowest polymorph = 180.6 kJ/mol of atoms
M_tot = 15.52 μB per formula unit
N(E_F) = 4.38 states/eV/cell
Formation energy without anion corrections = 2.343 eV/atom
ρ = 2552 kg/m3

=====

The following is a DFT calculation (PBE) of a geometry-optimized PrSm2HoS4 structure.

Unit cell a=6.9225 b=3.9608 c=7.0040 alpha=90.00 beta=108.94 gamma=90.00
Space group P2/m (No. 10)
One atom of each set of equivalent atoms:
Pr 0.0000 0.0000 0.0000
Sm 0.5000 0.0000 0.5000
Sm 0.5000 0.5000 0.0000
Ho 0.0000 0.5000 0.5000
S 0.2440 0.0000 0.7385
S 0.2515 0.5000 0.2603

Summary:
M_tot = 0.00 μB per formula unit
N(E_F) = 4.73 states/eV/cell
Formation energy without anion corrections = -2.001 eV/atom
ρ = 6718 kg/m3

=====

The following is a DFT calculation (PBE) of a geometry-optimized Zr2MoW structure.

Unit cell a=3.3459 b=3.3459 c=6.7047 alpha=90.00 beta=90.00 gamma=90.00
Space group P4/mmm (No. 123)
One atom of each set of equivalent atoms:
Zr 0.0000 0.0000 0.2490
Mo 0.5000 0.5000 0.0000
W 0.5000 0.5000 0.5000

Summary:
E above lowest polymorph = 11.6 kJ/mol of atoms
M_tot = 0.00 μB per formula unit
N(E_F) = 6.18 states/eV/cell
ρ = 10226 kg/m3

=====

The following is a DFT calculation (PBE) of a geometry-optimized La2YNbP structure.

Unit cell a=5.4298 b=5.4298 c=5.3614 alpha=90.00 beta=90.00 gamma=90.00
Space group P4/mmm (No. 123)
One atom of each set of equivalent atoms:
La 0.0000 0.5000 0.0000
Y 0.0000 0.0000 0.5000
Nb 0.0000 0.0000 0.0000
P 0.5000 0.5000 0.5000

Summary:
Total energy = -5.979 eV per atom
M_tot = 0.00 μB per formula unit
N(E_F) = 4.86 states/eV/cell
ρ = 5154 kg/m3

=====

The following is a DFT calculation (PBE) of a geometry-optimized Pm2NF structure.

Unit cell a=3.1301 b=3.1301 c=6.3094 alpha=90.00 beta=90.00 gamma=90.00
Space group P4/mmm (No. 123)
One atom of each set of equivalent atoms:
Pm 0.0000 0.0000 0.2278
N 0.5000 0.5000 0.0000
F 0.5000 0.5000 0.5000

Summary:
E above lowest polymorph = 60.2 kJ/mol of atoms
M_tot = 0.00 μB per formula unit
N(E_F) = 1.37 states/eV/cell
Formation energy without anion corrections = -1.414 eV/atom
ρ = 8677 kg/m3

=====

The following is a DFT calculation (PBE) of a geometry-optimized Cs3Ac2CdO6 structure.

Unit cell a=6.4101 b=12.0141 c=7.1447 alpha=90.00 beta=103.58 gamma=90.00
Space group C2/m (No. 12)
One atom of each set of equivalent atoms:
Cs 0.0000 0.0000 0.0000
Cs 0.0000 0.3423 0.0000
Ac 0.0000 0.1651 0.5000
Cd 0.0000 0.5000 0.5000
O 0.2398 0.0000 0.6526
O 0.2444 0.3184 0.6974

Summary:
M_tot = 1.05 μB per formula unit
N(E_F) = 8.70 states/eV/cell
Formation energy without anion corrections = -1.910 eV/atom
ρ = 6589 kg/m3

=====

The following is a DFT calculation (PBE) of a geometry-optimized Cs2CdTe2H structure.

Unit cell a=8.1265 b=15.4789 c=7.5057 alpha=90.00 beta=90.00 gamma=90.00
Space group Ibam (No. 72)
One atom of each set of equivalent atoms:
Cs 0.1695 0.1399 0.0000
Cd 0.0000 0.5000 0.2500
Te 0.1899 0.3972 0.0000
H 0.0000 0.0000 0.2500

Summary:
Total energy = -2.475 eV per atom
M_tot = 0.95 μB per formula unit
N(E_F) = 5.39 states/eV/cell
ρ = 4463 kg/m3

=====

The following is a DFT calculation (PBE) of a geometry-optimized Li2Ti2AlSe6 structure.

Unit cell a=6.3359 b=11.1154 c=6.8192 alpha=90.00 beta=108.48 gamma=90.00
Space group C2/m (No. 12)
One atom of each set of equivalent atoms:
Li 0.0000 0.1646 0.0000
Ti 0.0000 0.3277 0.5000
Al 0.0000 0.0000 0.5000
Se 0.2457 0.1652 0.7331
Se 0.2493 0.5000 0.7224

Summary:
M_tot = 0.84 μB per formula unit
N(E_F) = 9.23 states/eV/cell
Formation energy without anion corrections = -1.091 eV/atom
ρ = 4450 kg/m3

=====

The following is a DFT calculation (PBE) of a geometry-optimized ScNiBr2 structure.

Unit cell a=3.5121 b=6.3938 c=7.8742 alpha=90.00 beta=90.00 gamma=90.00
Space group Cmmm (No. 65)
One atom of each set of equivalent atoms:
Sc 0.0000 0.0000 0.0000
Ni 0.0000 0.0000 0.5000
Br 0.0000 0.5000 0.2749

Summary:
E above lowest polymorph = 56.4 kJ/mol of atoms
M_tot = 0.56 μB per formula unit
N(E_F) = 9.29 states/eV/cell
Formation energy without anion corrections = -0.190 eV/atom
ρ = 4948 kg/m3

=====

The following is a DFT calculation (PBE) of a geometry-optimized TaCr2Ag structure.

Unit cell a=9.1422 b=2.6328 c=5.0070 alpha=90.00 beta=96.19 gamma=90.00
Space group Cm (No. 8)
One atom of each set of equivalent atoms:
Ta 0.0000 0.0000 0.0000
Cr 0.0032 0.5000 0.4804
Cr 0.2521 0.5000 0.2602
Ag 0.2483 0.0000 0.7369

Summary:
E above lowest polymorph = 30.5 kJ/mol of atoms
M_tot = 0.00 μB per formula unit
N(E_F) = 8.84 states/eV/cell
ρ = 10888 kg/m3

=====

The following is a DFT calculation (PBE) of a geometry-optimized NaSnMo2 structure.

Unit cell a=7.9047 b=7.9047 c=5.2604 alpha=90.00 beta=90.00 gamma=90.00
Space group I-42d (No. 122)
One atom of each set of equivalent atoms:
Na 0.0000 0.0000 0.0000
Sn 0.0000 0.0000 0.5000
Mo 0.2158 0.2500 0.6250

Summary:
Total energy = -5.621 eV per atom
M_tot = 0.00 μB per formula unit
N(E_F) = 16.16 states/eV/cell
ρ = 6741 kg/m3

=====

The following is a DFT calculation (PBE) of a geometry-optimized Pr2InAg structure.

Unit cell a=7.7187 b=7.7187 c=7.7187 alpha=90.00 beta=90.00 gamma=90.00
Space group Fm-3m (No. 225)
One atom of each set of equivalent atoms:
Pr 0.2500 0.2500 0.2500
In 0.0000 0.0000 0.0000
Ag 0.0000 0.0000 0.5000

Summary:
E above lowest polymorph = 0.6 kJ/mol of atoms
M_tot = 0.47 μB per formula unit
N(E_F) = 17.37 states/eV/cell
ρ = 7287 kg/m3

=====

The following is a DFT calculation (PBE) of a geometry-optimized CaCu2S structure.

Unit cell a=7.5546 b=7.5546 c=5.3231 alpha=90.00 beta=90.00 gamma=90.00
Space group I-42d (No. 122)
One atom of each set of equivalent atoms:
Ca 0.0000 0.0000 0.0000
Cu 0.1724 0.2500 0.6250
S 0.0000 0.0000 0.5000

Summary:
M_tot = 0.00 μB per formula unit
N(E_F) = 7.86 states/eV/cell
Formation energy without anion corrections = -0.262 eV/atom
ρ = 4356 kg/m3

=====

The following is a DFT calculation (PBE) of a geometry-optimized K2Li3PbF12 structure.

Unit cell a=7.1361 b=7.1361 c=18.6528 alpha=90.00 beta=90.00 gamma=120.00
Space group R-3m (No. 166, hexagonal axes)
One atom of each set of equivalent atoms:
K 0.0000 0.0000 0.1071
Li 0.0000 0.5000 0.0000
Pb 0.0000 0.0000 0.5000
F 0.0216 0.5108 0.3503
F 0.0435 0.5217 0.1074

Summary:
M_tot = 3.00 μB per formula unit
N(E_F) = 32.31 states/eV/cell
Formation energy without anion corrections = -2.071 eV/atom
ρ = 3235 kg/m3

=====

The following is a DFT calculation (PBE) of a geometry-optimized NaSb2CSe structure.

Unit cell a=5.4709 b=5.4709 c=5.2509 alpha=90.00 beta=90.00 gamma=90.00
Space group P4/mmm (No. 123)
One atom of each set of equivalent atoms:
Na 0.0000 0.0000 0.0000
Sb 0.0000 0.5000 0.5000
C 0.5000 0.5000 0.0000
Se 0.0000 0.0000 0.5000

Summary:
M_tot = 0.65 μB per formula unit
N(E_F) = 3.04 states/eV/cell
Formation energy without anion corrections = 1.503 eV/atom
ρ = 3777 kg/m3

=====

The following is a DFT calculation (PBE) of a geometry-optimized AlCuRu2 structure.

Unit cell a=2.8385 b=4.5797 c=8.5969 alpha=90.00 beta=90.00 gamma=90.00
Space group Cmm2 (No. 35)
One atom of each set of equivalent atoms:
Al 0.0000 0.0000 0.0000
Cu 0.0000 0.5000 0.2402
Ru 0.0000 0.0000 0.4994
Ru 0.0000 0.5000 0.7576

Summary:
Total energy = -6.443 eV per atom
M_tot = 0.87 μB per formula unit
N(E_F) = 7.37 states/eV/cell
ρ = 8697 kg/m3

=====

The following is a DFT calculation (PBE) of a geometry-optimized Ge3IrO structure.

Unit cell a=4.7546 b=4.7546 c=4.7546 alpha=90.00 beta=90.00 gamma=90.00
Space group Pm-3m (No. 221)
One atom of each set of equivalent atoms:
Ge 0.0000 0.0000 0.5000
Ir 0.0000 0.0000 0.0000
O 0.5000 0.5000 0.5000

Summary:
E above lowest polymorph = 23.7 kJ/mol of atoms
M_tot = 0.00 μB per formula unit
N(E_F) = 4.30 states/eV/cell
Formation energy without anion corrections = 0.411 eV/atom
ρ = 6584 kg/m3

=====

The following is a DFT calculation (PBE) of a geometry-optimized AlV2MoPb structure.

Unit cell a=4.5975 b=4.5975 c=5.3152 alpha=90.00 beta=90.00 gamma=90.00
Space group P4/mmm (No. 123)
One atom of each set of equivalent atoms:
Al 0.0000 0.0000 0.0000
V 0.0000 0.5000 0.5000
Mo 0.5000 0.5000 0.5000
Pb 0.5000 0.5000 0.0000

Summary:
Total energy = -6.042 eV per atom
M_tot = 0.00 μB per formula unit
N(E_F) = 6.78 states/eV/cell
ρ = 6385 kg/m3

=====

The following is a DFT calculation (PBE) of a geometry-optimized Ac2PmTcO8 structure.

Unit cell a=5.3442 b=7.1414 c=5.3908 alpha=90.00 beta=90.75 gamma=90.00
Space group P2/m (No. 10)
One atom of each set of equivalent atoms:
Ac 0.0000 0.2432 0.0000
Pm 0.5000 0.5000 0.5000
Tc 0.5000 0.0000 0.5000
O 0.1959 0.5000 0.1988
O 0.2487 0.0000 0.2548
O 0.3306 0.2009 0.6716

Summary:
M_tot = 0.00 μB per formula unit
Formation energy without anion corrections = -2.497 eV/atom
ρ = 6659 kg/m3

=====

The following is a DFT calculation (PBE) of a geometry-optimized TiNbTc2Br structure.

Unit cell a=4.7326 b=4.7326 c=4.9414 alpha=90.00 beta=90.00 gamma=90.00
Space group P4/mmm (No. 123)
One atom of each set of equivalent atoms:
Ti 0.0000 0.0000 0.0000
Nb 0.5000 0.5000 0.5000
Tc 0.0000 0.5000 0.5000
Br 0.5000 0.5000 0.0000

Summary:
M_tot = 0.00 μB per formula unit
N(E_F) = 6.18 states/eV/cell
Formation energy without anion corrections = 1.477 eV/atom
ρ = 6252 kg/m3

=====

The following is a DFT calculation (PBE) of a geometry-optimized Sm2TmTh3Bi6 structure.

Unit cell a=19.8650 b=4.5629 c=9.0929 alpha=90.00 beta=103.08 gamma=90.00
Space group C2/m (No. 12)
One atom of each set of equivalent atoms:
Sm 0.1667 0.0000 0.3332
Tm 0.0000 0.5000 0.0000
Th 0.0000 0.5000 0.5000
Th 0.1687 0.0000 0.8335
Bi 0.9998 0.0000 0.2414
Bi 0.1626 0.5000 0.0832
Bi 0.1673 0.5000 0.5808

Summary:
Total energy = -5.676 eV per atom
M_tot = 0.00 μB per formula unit
N(E_F) = 13.24 states/eV/cell
ρ = 10010 kg/m3